# meta-GGA SCAN SiTcSeCl2, PBEsol geometry
# ΔE_f (raw) ... 1.085 eV per atom
# D(E_F) ... 3.2 states/eV/cell
# DFT total energy ... -15.14 eV/atom
data_SiTcSeCl2
_chemical_formula_sum 'Si1 Tc1 Se1 Cl2'
_cell_length_a 5.009
_cell_length_b 5.009
_cell_length_c 4.677
_cell_angle_alpha 90.00
_cell_angle_beta 90.00
_cell_angle_gamma 90.00
_space_group_name_H-M_alt 'P 4/m m m'
_space_group_IT_number 123
_space_group_name_Hall '-P 4 2'
loop_
_atom_site_label
_atom_site_type_symbol
_atom_site_fract_x
_atom_site_fract_y
_atom_site_fract_z
Si1 Si 0.000 0.000 0.000
Tc1 Tc 0.500 0.500 0.000
Se1 Se 0.500 0.500 0.500
Cl1 Cl 0.000 0.500 0.500

# meta-GGA SCAN BaSiRh2, PBEsol geometry
# ΔE_f (raw) ... -0.632 eV per atom
# D(E_F) ... 3.5 states/eV/cell
# DFT total energy ... -29.91 eV/atom
data_BaSiRh2
_chemical_formula_sum 'Ba2 Si2 Rh4'
_cell_length_a 7.095
_cell_length_b 4.086
_cell_length_c 6.216
_cell_angle_alpha 90.00
_cell_angle_beta 112.38
_cell_angle_gamma 90.00
_space_group_name_H-M_alt 'C 1 2/m 1'
_space_group_IT_number 12
_space_group_name_Hall '-C 2y'
loop_
_atom_site_label
_atom_site_type_symbol
_atom_site_fract_x
_atom_site_fract_y
_atom_site_fract_z
Ba1 Ba 0.000 0.000 0.000
Si1 Si 0.000 0.500 0.500
Rh1 Rh 0.202 0.000 0.606

# meta-GGA SCAN BaCuPt2, PBEsol geometry
# D(E_F) ... 14.7 states/eV/cell
# Formation energy ... 0.191 eV/atom
# DFT total energy ... -48.59 eV/atom
# E above lowest polymorph ... 73.9 kJ per mole of atoms
data_BaCuPt2
_chemical_formula_sum 'Ba4 Cu4 Pt8'
_cell_length_a 6.793
_cell_length_b 6.793
_cell_length_c 6.793
_cell_angle_alpha 90.00
_cell_angle_beta 90.00
_cell_angle_gamma 90.00
_space_group_name_H-M_alt 'F -4 3 m'
_space_group_IT_number 216
_space_group_name_Hall 'F -4 2 3'
loop_
_atom_site_label
_atom_site_type_symbol
_atom_site_fract_x
_atom_site_fract_y
_atom_site_fract_z
Ba1 Ba 0.000 0.000 0.000
Cu1 Cu 0.250 0.250 0.250
Pt1 Pt 0.000 0.000 0.500
Pt2 Pt 0.250 0.250 0.750

# meta-GGA SCAN ScNbSe3, PBEsol geometry
# ΔE_f (raw) ... -0.192 eV per atom
# D(E_F) ... 2.3 states/eV/cell
# DFT total energy ... -21.71 eV/atom
# E above lowest polymorph ... 22.3 kJ per mole of atoms
data_ScNbSe3
_chemical_formula_sum 'Sc1 Nb1 Se3'
_cell_length_a 4.967
_cell_length_b 4.967
_cell_length_c 4.967
_cell_angle_alpha 90.00
_cell_angle_beta 90.00
_cell_angle_gamma 90.00
_space_group_name_H-M_alt 'P m -3 m'
_space_group_IT_number 221
_space_group_name_Hall '-P 4 2 3'
loop_
_atom_site_label
_atom_site_type_symbol
_atom_site_fract_x
_atom_site_fract_y
_atom_site_fract_z
Sc1 Sc 0.000 0.000 0.000
Nb1 Nb 0.500 0.500 0.500
Se1 Se 0.000 0.000 0.500

Number 1: M_tot 1.66 μB/f.u.. Number 2: M_tot 0.00 μB/f.u.. Number 3: M_tot 0.00 μB/f.u.. Number 4: M_tot 2.00 μB/f.u..